Here is SrBeFeMo after structural relaxation from OQMD via LeMat-Bulk. Energies are from GGA-PBE.

The electronic total energy comes out at -5.14 eV/atom. The energy above the most stable polymorph in this dataset comes out at 0 meV per atom.

Unit cell a=6.5160 b=6.5160 c=6.5160 alpha=90.00 beta=90.00 gamma=90.00
With the nearest neighbours (Å) after each atom.
Space group F-43m (No. 216)
Inequivalent atoms, fractional coordinates:
Sr (0.0000, 0.0000, 0.0000) [4 per cell]  4 Fe 2.82, 4 Be 2.82
Be (0.2500, 0.2500, 0.7500) [4 per cell]  4 Mo 2.82, 4 Sr 2.82
Fe (0.2500, 0.2500, 0.2500) [4 per cell]  4 Mo 2.82, 4 Sr 2.82
Mo (0.0000, 0.0000, 0.5000) [4 per cell]  4 Fe 2.82, 4 Be 2.82

=====

Here is SrBeFeMo after structural relaxation from OQMD via LeMat-Bulk. Energies are from GGA-PBE.

The electronic total energy comes out at -4.89 eV/atom. The energy above the most stable polymorph in this dataset comes out at 247 meV per atom.

Unit cell a=6.5063 b=6.5063 c=6.5063 alpha=90.00 beta=90.00 gamma=90.00
With the nearest neighbours (Å) after each atom.
Space group F-43m (No. 216)
Inequivalent atoms, fractional coordinates:
Sr (0.0000, 0.0000, 0.0000) [4 per cell]  4 Fe 2.82, 4 Mo 2.82
Be (0.0000, 0.0000, 0.5000) [4 per cell]  4 Mo 2.82, 4 Fe 2.82
Fe (0.2500, 0.2500, 0.7500) [4 per cell]  4 Be 2.82, 4 Sr 2.82
Mo (0.2500, 0.2500, 0.2500) [4 per cell]  4 Be 2.82, 4 Sr 2.82

=====

Here is SrBeFeMo after structural relaxation from OQMD via LeMat-Bulk. Energies are from GGA-PBE.

The electronic total energy comes out at -5.12 eV/atom. The energy above the most stable polymorph in this dataset comes out at 20 meV per atom.

Unit cell a=6.3271 b=6.3271 c=6.3271 alpha=90.00 beta=90.00 gamma=90.00
With the nearest neighbours (Å) after each atom.
Space group F-43m (No. 216)
Inequivalent atoms, fractional coordinates:
Sr (0.0000, 0.0000, 0.0000) [4 per cell]  4 Mo 2.74, 4 Be 2.74
Be (0.2500, 0.2500, 0.7500) [4 per cell]  4 Fe 2.74, 4 Sr 2.74
Fe (0.0000, 0.0000, 0.5000) [4 per cell]  4 Mo 2.74, 4 Be 2.74
Mo (0.2500, 0.2500, 0.2500) [4 per cell]  4 Fe 2.74, 4 Sr 2.74

=====

Here is BeZnFeMo after structural relaxation from OQMD via LeMat-Bulk. Energies are from GGA-PBE.

The electronic total energy comes out at -5.75 eV/atom. The energy above the most stable polymorph in this dataset comes out at 281 meV per atom.

Unit cell a=5.8459 b=5.8459 c=5.8459 alpha=90.00 beta=90.00 gamma=90.00
With the nearest neighbours (Å) after each atom.
Space group F-43m (No. 216)
Inequivalent atoms, fractional coordinates:
Be (0.0000, 0.0000, 0.0000) [4 per cell]  4 Mo 2.53, 4 Fe 2.53
Zn (0.0000, 0.0000, 0.5000) [4 per cell]  4 Mo 2.53, 4 Fe 2.53
Fe (0.2500, 0.2500, 0.7500) [4 per cell]  4 Be 2.53, 4 Zn 2.53
Mo (0.2500, 0.2500, 0.2500) [4 per cell]  4 Be 2.53, 4 Zn 2.53

=====

Here is BeZnFeMo after structural relaxation from OQMD via LeMat-Bulk. Energies are from GGA-PBE.

The electronic total energy comes out at -6.03 eV/atom. The energy above the most stable polymorph in this dataset comes out at 0 meV per atom.

Unit cell a=5.7473 b=5.7473 c=5.7473 alpha=90.00 beta=90.00 gamma=90.00
With the nearest neighbours (Å) after each atom.
Space group F-43m (No. 216)
Inequivalent atoms, fractional coordinates:
Be (0.0000, 0.0000, 0.0000) [4 per cell]  4 Mo 2.49, 4 Zn 2.49
Zn (0.2500, 0.2500, 0.7500) [4 per cell]  4 Fe 2.49, 4 Be 2.49
Fe (0.0000, 0.0000, 0.5000) [4 per cell]  4 Mo 2.49, 4 Zn 2.49
Mo (0.2500, 0.2500, 0.2500) [4 per cell]  4 Fe 2.49, 4 Be 2.49

=====

Here is NaBeFe3 after structural relaxation from OQMD via LeMat-Bulk. Energies are from GGA-PBE.

The electronic total energy comes out at -5.23 eV/atom.

Unit cell a=4.0801 b=4.0801 c=4.0801 alpha=90.00 beta=90.00 gamma=90.00
With the nearest neighbours (Å) after each atom.
Space group Pm-3m (No. 221)
Inequivalent atoms, fractional coordinates:
Na (0.0000, 0.0000, 0.0000) [1 per cell]  12 Fe 2.89
Be (0.5000, 0.5000, 0.5000) [1 per cell]  6 Fe 2.04
Fe (0.0000, 0.5000, 0.5000) [3 per cell]  2 Be 2.04

=====

Here is NaBeFeTc after structural relaxation from OQMD via LeMat-Bulk. Energies are from GGA-PBE.

The electronic total energy comes out at -5.24 eV/atom. The energy above the most stable polymorph in this dataset comes out at 8 meV per atom.

Unit cell a=5.8705 b=5.8705 c=5.8705 alpha=90.00 beta=90.00 gamma=90.00
With the nearest neighbours (Å) after each atom.
Space group F-43m (No. 216)
Inequivalent atoms, fractional coordinates:
Na (0.0000, 0.0000, 0.0000) [4 per cell]  4 Fe 2.54, 4 Be 2.54
Be (0.2500, 0.2500, 0.2500) [4 per cell]  4 Na 2.54, 4 Tc 2.54
Fe (0.2500, 0.2500, 0.7500) [4 per cell]  4 Na 2.54, 4 Tc 2.54
Tc (0.0000, 0.0000, 0.5000) [4 per cell]  4 Be 2.54, 4 Fe 2.54

=====

Here is NaBeFeTc after structural relaxation from OQMD via LeMat-Bulk. Energies are from GGA-PBE.

The electronic total energy comes out at -5.25 eV/atom. The energy above the most stable polymorph in this dataset comes out at 0 meV per atom.

Unit cell a=5.8241 b=5.8241 c=5.8241 alpha=90.00 beta=90.00 gamma=90.00
With the nearest neighbours (Å) after each atom.
Space group F-43m (No. 216)
Inequivalent atoms, fractional coordinates:
Na (0.0000, 0.0000, 0.0000) [4 per cell]  4 Be 2.52, 4 Tc 2.52
Be (0.2500, 0.2500, 0.7500) [4 per cell]  4 Fe 2.52, 4 Na 2.52
Fe (0.0000, 0.0000, 0.5000) [4 per cell]  4 Tc 2.52, 4 Be 2.52
Tc (0.2500, 0.2500, 0.2500) [4 per cell]  4 Fe 2.52, 4 Na 2.52

=====

Here is BeNb2Fe after structural relaxation from OQMD via LeMat-Bulk. Energies are from GGA-PBE.

The electronic total energy comes out at -7.78 eV/atom.

Unit cell a=6.0626 b=6.0626 c=6.0626 alpha=90.00 beta=90.00 gamma=90.00
With the nearest neighbours (Å) after each atom.
Space group F-43m (No. 216)
Inequivalent atoms, fractional coordinates:
Be (0.0000, 0.0000, 0.0000) [4 per cell]  4 Nb 2.63, 4 Fe 2.63
Nb (0.0000, 0.0000, 0.5000) [4 per cell]  4 Nb 2.63, 4 Fe 2.63
Nb (0.2500, 0.2500, 0.7500) [4 per cell]  4 Nb 2.63, 4 Be 2.63
Fe (0.2500, 0.2500, 0.2500) [4 per cell]  4 Nb 2.63, 4 Be 2.63

=====

Here is BeNbFe after structural relaxation from OQMD via LeMat-Bulk. Energies are from GGA-PBE.

The electronic total energy comes out at -7.57 eV/atom. The energy above the most stable polymorph in this dataset comes out at 0 meV per atom.

Unit cell a=4.6912 b=4.7412 c=6.5301 alpha=90.00 beta=90.00 gamma=90.00
With the nearest neighbours (Å) after each atom.
Space group Imma (No. 74)
Inequivalent atoms, fractional coordinates:
Be (0.2500, 0.2500, 0.2500) [4 per cell]  4 Fe 2.33, 2 Be 2.35
Nb (0.0000, 0.2500, 0.6246) [4 per cell]  6 Be 2.71-2.77, 6 Fe 2.72-2.75, 4 Nb 2.86-2.88
Fe (0.0000, 0.0000, 0.0000) [4 per cell]  4 Be 2.33, 2 Fe 2.37

=====

Here is BeNbFe after structural relaxation from OQMD via LeMat-Bulk. Energies are from GGA-PBE.

The electronic total energy comes out at -6.52 eV/atom. The energy above the most stable polymorph in this dataset comes out at 1053 meV per atom.

Unit cell a=5.6465 b=5.6465 c=5.6465 alpha=90.00 beta=90.00 gamma=90.00
With the nearest neighbours (Å) after each atom.
Space group F-43m (No. 216)
Inequivalent atoms, fractional coordinates:
Be (0.0000, 0.0000, 0.0000) [4 per cell]  4 Nb 2.44
Nb (0.2500, 0.2500, 0.2500) [4 per cell]  4 Fe 2.44, 4 Be 2.44
Fe (0.0000, 0.0000, 0.5000) [4 per cell]  4 Nb 2.44

=====

Here is BeNbFe after structural relaxation from OQMD via LeMat-Bulk. Energies are from GGA-PBE.

The electronic total energy comes out at -6.97 eV/atom. The energy above the most stable polymorph in this dataset comes out at 598 meV per atom.

Unit cell a=5.5519 b=5.5519 c=5.5519 alpha=90.00 beta=90.00 gamma=90.00
With the nearest neighbours (Å) after each atom.
Space group F-43m (No. 216)
Inequivalent atoms, fractional coordinates:
Be (0.0000, 0.0000, 0.0000) [4 per cell]  4 Fe 2.40
Nb (0.0000, 0.0000, 0.5000) [4 per cell]  4 Fe 2.40
Fe (0.2500, 0.2500, 0.2500) [4 per cell]  4 Nb 2.40, 4 Be 2.40

=====

What did the fifth record say?
Here is BeZnFeMo after structural relaxation from OQMD via LeMat-Bulk. Energies are from GGA-PBE.

The electronic total energy comes out at -6.03 eV/atom. The energy above the most stable polymorph in this dataset comes out at 0 meV per atom.

Unit cell a=5.7473 b=5.7473 c=5.7473 alpha=90.00 beta=90.00 gamma=90.00
With the nearest neighbours (Å) after each atom.
Space group F-43m (No. 216)
Inequivalent atoms, fractional coordinates:
Be (0.0000, 0.0000, 0.0000) [4 per cell]  4 Mo 2.49, 4 Zn 2.49
Zn (0.2500, 0.2500, 0.7500) [4 per cell]  4 Fe 2.49, 4 Be 2.49
Fe (0.0000, 0.0000, 0.5000) [4 per cell]  4 Mo 2.49, 4 Zn 2.49
Mo (0.2500, 0.2500, 0.2500) [4 per cell]  4 Fe 2.49, 4 Be 2.49

=====

- The highest electronic total energy belongs to which entry?
  number 2

=====

Copy entry 1 word for word.
Here is SrBeFeMo after structural relaxation from OQMD via LeMat-Bulk. Energies are from GGA-PBE.

The electronic total energy comes out at -5.14 eV/atom. The energy above the most stable polymorph in this dataset comes out at 0 meV per atom.

Unit cell a=6.5160 b=6.5160 c=6.5160 alpha=90.00 beta=90.00 gamma=90.00
With the nearest neighbours (Å) after each atom.
Space group F-43m (No. 216)
Inequivalent atoms, fractional coordinates:
Sr (0.0000, 0.0000, 0.0000) [4 per cell]  4 Fe 2.82, 4 Be 2.82
Be (0.2500, 0.2500, 0.7500) [4 per cell]  4 Mo 2.82, 4 Sr 2.82
Fe (0.2500, 0.2500, 0.2500) [4 per cell]  4 Mo 2.82, 4 Sr 2.82
Mo (0.0000, 0.0000, 0.5000) [4 per cell]  4 Fe 2.82, 4 Be 2.82